Entry 1:
A plane-wave DFT calculation with PBE was carried out for a geometry-optimized BeCdRe2 structure.

Summary:
The density is 13.9 g cm⁻³. For the formation energy, the calculation gives 0.395 eV/atom. As for the space-group type: C2/m.

abc: 5.467 5.467 4.423
angles: 113.77 113.77 29.32
Fractional coordinates of all 4 atoms:
Be  0.000  0.000  0.000
Cd  0.500  0.500  0.500
Re  0.291  0.291  0.790
Re  0.709  0.709  0.210

=====

Entry 2:
A plane-wave DFT calculation with PBE was carried out for a geometry-optimized K2GeRuO6 structure.

Summary:
The calculation puts the total energy at -0.42498 Ry per atom. The density is 4.9 g cm⁻³. As for the space-group type: Fm-3m.

abc: 5.500 5.500 5.500
angles: 60.00 60.00 60.00
Fractional coordinates of all 10 atoms:
K  0.250  0.250  0.250
K  0.750  0.750  0.750
Ge  0.000  0.000  0.000
Ru  0.500  0.500  0.500
O  0.248  0.248  0.752
O  0.248  0.752  0.248
O  0.248  0.752  0.752
O  0.752  0.248  0.248
O  0.752  0.248  0.752
O  0.752  0.752  0.248

=====

Entry 3:
A plane-wave DFT calculation with PBE was carried out for a geometry-optimized CoAgSb structure.

Summary:
The calculation puts the total energy at -0.32402 Ry per atom. The density is 8.9 g cm⁻³. As for the space-group type: P-6m2.

abc: 4.294 4.294 3.357
angles: 90.00 90.00 120.00
Fractional coordinates of all 3 atoms:
Co  0.000  0.000  0.000
Ag  0.333  0.667  0.500
Sb  0.667  0.333  0.000

=====

Entry 4:
A plane-wave DFT calculation with PBE was carried out for a geometry-optimized KMnCr2 structure.

Summary:
The density is 3.6 g cm⁻³. For the formation energy, the calculation gives 1.539 eV/atom. As for the space-group type: P4/mmm.

abc: 5.439 5.439 3.126
angles: 90.00 90.00 90.00
Fractional coordinates of all 4 atoms:
K  0.000  0.000  0.000
Mn  0.500  0.500  0.000
Cr  0.000  0.500  0.500
Cr  0.500  0.000  0.500

=====

Entry 5:
A plane-wave DFT calculation with PBE was carried out for a geometry-optimized PrNdY2Er5 structure.

Summary:
The density is 7.4 g cm⁻³. For the formation energy, the calculation gives 0.286 eV/atom. As for the space-group type: I4/mcm.

abc: 9.758 9.758 9.758
angles: 126.14 126.14 79.66
Fractional coordinates of all 18 atoms:
Pr  0.250  0.250  0.000
Pr  0.750  0.750  0.000
Nd  0.250  0.750  0.500
Nd  0.750  0.250  0.500
Y  0.115  0.615  0.731
Y  0.385  0.115  0.500
Y  0.615  0.885  0.500
Y  0.885  0.385  0.269
Er  0.000  0.000  0.000
Er  0.071  0.161  0.500
Er  0.161  0.661  0.090
Er  0.339  0.429  0.500
Er  0.429  0.929  0.090
Er  0.500  0.500  0.000
Er  0.571  0.071  0.910
Er  0.661  0.571  0.500
Er  0.839  0.339  0.910
Er  0.929  0.839  0.500

=====

Entry 6:
A plane-wave DFT calculation with PBE was carried out for a geometry-optimized LiNiSe2 structure.

Summary:
The calculation puts the total energy at -0.29728 Ry per atom. The density is 5.4 g cm⁻³. As for the space-group type: Imm2.

abc: 6.755 6.755 6.755
angles: 154.95 148.15 40.94
Fractional coordinates of all 4 atoms:
Li  0.000  0.000  0.000
Ni  0.748  0.248  0.500
Se  0.327  0.827  0.500
Se  0.592  0.592  0.000

=====

Entry 7:
A plane-wave DFT calculation with PBE was carried out for a geometry-optimized Ni2PAu structure.

Summary:
The density is 10.3 g cm⁻³. For the formation energy, the calculation gives -0.129 eV/atom. As for the space-group type: Pmm2.

abc: 2.844 3.164 6.197
angles: 90.00 90.00 90.00
Fractional coordinates of all 4 atoms:
Ni  0.000  0.000  0.000
Ni  0.500  0.000  0.366
P  0.000  0.500  0.241
Au  0.500  0.500  0.722

=====

Entry 8:
A plane-wave DFT calculation with PBE was carried out for a geometry-optimized Ag2Sn8Pd3 structure.

Summary:
The density is 8.1 g cm⁻³. For the formation energy, the calculation gives -0.170 eV/atom. As for the space-group type: P2/m.

abc: 8.197 4.894 8.204
angles: 90.00 111.82 90.00
Fractional coordinates of all 13 atoms:
Ag  0.241  0.000  0.255
Ag  0.759  0.000  0.745
Sn  0.123  0.500  0.376
Sn  0.149  0.000  0.878
Sn  0.372  0.500  0.126
Sn  0.379  0.000  0.646
Sn  0.621  0.000  0.354
Sn  0.628  0.500  0.874
Sn  0.851  0.000  0.122
Sn  0.877  0.500  0.624
Pd  0.000  0.000  0.500
Pd  0.257  0.500  0.755
Pd  0.743  0.500  0.245